No. 1
Here is AsPt after structural relaxation from the Alexandria database. Energies are from GGA-PBE.

a b c (Å): 5.628 5.628 5.628
angles (deg): 90.00 90.00 90.00
Fractional positions:
As: 0.000 0.000 0.000
As: 0.000 0.500 0.500
As: 0.500 0.000 0.500
As: 0.500 0.500 0.000
Pt: 0.250 0.250 0.750
Pt: 0.250 0.750 0.250
Pt: 0.750 0.250 0.250
Pt: 0.750 0.750 0.750

Computed properties:
Magnetization   0.000 μB per atom
Final energy   -5.512 eV/atom
Formation enthalpy at 0 K   -0.167 eV/atom

No. 2
Here is AsPt3 after structural relaxation from the Alexandria database. Energies are from GGA-PBE.

a b c (Å): 8.500 7.192 4.334
angles (deg): 90.00 90.00 90.00
Fractional positions:
As: 0.000 0.171 0.250
As: 0.000 0.829 0.750
As: 0.500 0.329 0.750
As: 0.500 0.671 0.250
Pt: 0.000 0.353 0.750
Pt: 0.000 0.647 0.250
Pt: 0.238 0.380 0.250
Pt: 0.238 0.620 0.750
Pt: 0.262 0.120 0.750
Pt: 0.262 0.880 0.250
Pt: 0.500 0.147 0.250
Pt: 0.500 0.853 0.750
Pt: 0.738 0.120 0.750
Pt: 0.738 0.880 0.250
Pt: 0.762 0.380 0.250
Pt: 0.762 0.620 0.750

Computed properties:
Magnetization   0.000 μB per atom
Final energy   -5.780 eV/atom
Formation enthalpy at 0 K   -0.087 eV/atom

No. 3
Here is AsPt3 after structural relaxation from the Alexandria database. Energies are from GGA-PBE.

a b c (Å): 4.689 4.689 4.689
angles (deg): 90.00 90.00 90.00
Fractional positions:
As: 0.000 0.000 0.000
Pt: 0.000 0.000 0.500
Pt: 0.000 0.500 0.000
Pt: 0.500 0.000 0.000

Computed properties:
Magnetization   0.000 μB per atom
Final energy   -4.857 eV/atom
Formation enthalpy at 0 K   0.836 eV/atom